{"formula": "ZrFeCo2", "functional": "PBE", "state": "relaxed", "crystal_system": "trigonal", "energy_ev_per_atom": -7.54, "formation_energy_mev_per_atom": 266, "sg": "R-3m", "lattice_angstrom": [[-4.846, -4.578, -5.097], [-5.625, -5.662, -2.593], [-6.852, -3.291, -3.556]], "species": ["Zr", "Co", "Co", "Fe"], "frac_coords": [[0.750, 0.750, 0.750], [0.509, 0.509, 0.509], [0.991, 0.991, 0.991], [0.250, 0.250, 0.250]]}